A plane-wave DFT calculation with PBE with a Hubbard U was carried out for a relaxed structure of LiMn2B8O14.

Cell lengths 5.147, 6.409, 8.329 Å; angles 55.11, 90.00, 90.00 degrees
Last column: magnetic moment on the atom in μB.
Fractional coordinates of all 25 atoms:
Li1 0.000 0.346 0.992  0.00
Mn1 0.500 0.806 0.278  4.64
Mn2 0.000 0.072 0.775  4.47
B1 0.500 0.073 0.642  0.00
B2 0.000 0.752 0.147  -0.21
B3 0.263 0.328 0.320  0.00
B4 0.244 0.695 0.676  0.00
B5 0.756 0.695 0.676  0.00
B6 0.500 0.297 0.800  0.00
B7 0.000 0.942 0.354  -0.01
B8 0.737 0.328 0.320  0.00
O1 0.000 0.968 0.165  -0.02
O2 0.500 0.061 0.831  0.01
O3 0.500 0.789 0.715  0.00
O4 0.000 0.735 0.753  0.00
O5 0.732 0.411 0.785  0.01
O6 0.771 0.811 0.467  0.02
O7 0.268 0.411 0.785  0.01
O8 0.500 0.273 0.254  0.01
O9 0.731 0.202 0.535  0.01
O10 0.767 0.605 0.219  -0.02
O11 0.269 0.202 0.535  0.01
O12 0.000 0.232 0.279  0.00
O13 0.229 0.811 0.467  0.02
O14 0.233 0.605 0.219  -0.02

Summary:
M_tot = 9.0 μB/f.u.
mass density = 3.15 g/cm³
SG = No. 6
total DFT energy (no corrections) = -193.62 eV/cell
ΔE to the lowest computed polymorph = 0 meV/atom